Entry 1:
A plane-wave DFT calculation with GGA-PBE was carried out for Ca2H3 after structural relaxation.

Cell and atoms, written as POSCAR:
```
Ca2H3
1.0
5.9386 0.0000 0.0000
2.9693 5.1430 0.0000
2.9693 1.7143 4.8787
Ca H
4 6
Cartesian
2.9693 1.7143 2.8950
8.9079 5.1430 1.9838
5.9386 3.4287 0.4556
5.9386 3.4287 4.4232
4.5786 5.1430 3.6591
3.7740 3.1080 1.2197
8.1033 3.7493 3.6591
5.1340 1.3937 3.6591
6.7433 5.4637 1.2197
7.2987 1.7143 1.2197
```

---

Entry 2:
A plane-wave DFT calculation with GGA-PBE was carried out for CaH after structural relaxation.

Cell and atoms, written as POSCAR:
```
CaH
1.0
-0.7341 3.7770 -0.0670
-0.9972 -0.2583 -3.6366
-4.8043 -0.9093 1.3820
H Ca
2 2
Cartesian
-1.6050 1.6542 0.3226
-2.6203 -0.4959 0.7538
-3.2510 1.3079 -1.1656
-0.1793 -0.0339 0.0516
```

---

Entry 3:
A plane-wave DFT calculation with GGA-PBE was carried out for CaH after structural relaxation.

Cell and atoms, written as POSCAR:
```
CaH
1.0
-2.8527 1.7827 1.8679
-0.7604 -2.0554 -3.1626
-2.6342 -15.2934 10.5727
Ca H
6 6
Cartesian
-3.2140 -10.9716 5.5627
-3.0333 -4.5945 3.7153
-1.8969 -3.3249 0.2764
-4.3504 -12.2411 9.0016
-1.3171 -7.6467 5.2863
0.0000 0.0000 0.0000
-4.0284 -10.3716 7.7092
-0.9951 -5.7772 3.9939
-4.6725 -14.1107 10.2941
-1.5748 -1.4554 -1.0161
-1.6391 -9.5162 6.5788
-2.2189 -5.1944 1.5688
```

---

Entry 4:
A plane-wave DFT calculation with GGA-PBE was carried out for CaH after structural relaxation.

Cell and atoms, written as POSCAR:
```
CaH
1.0
6.5734 0.0000 0.0181
0.0000 3.6945 0.0000
-2.1286 0.0000 6.0509
Ca H
4 4
Cartesian
2.4157 0.0000 2.4048
5.6307 1.8472 2.3893
1.3514 1.8472 5.4302
4.5664 0.0000 5.4147
3.5058 1.8472 1.6520
0.1848 0.0000 3.8994
1.2491 1.8472 0.8740
2.4415 0.0000 4.6774
```

---

Entry 5:
A plane-wave DFT calculation with GGA-PBE was carried out for CaH after structural relaxation.

Cell and atoms, written as POSCAR:
```
CaH
1.0
-4.8815 2.0813 2.7335
-1.2487 -6.5262 2.7392
3.8307 1.6205 5.6071
Ca H
8 8
Cartesian
1.5017 -2.1652 7.2255
-2.0511 -1.5984 6.9764
-1.5623 1.8423 5.9480
1.9878 1.2616 6.2029
-0.3855 -1.2874 3.9148
-0.6073 -4.6024 5.3243
-3.9286 -0.7097 3.6560
-4.1531 -4.0386 5.0713
-0.1610 -2.4617 5.8023
-1.0538 -1.9770 1.9259
-2.3517 -2.4430 4.6712
1.4994 -4.5279 6.6182
0.0949 2.1103 7.3832
-3.4792 -3.3204 7.0483
-1.5216 0.5936 2.8557
-2.2252 0.7283 8.0145
```

---

Entry 6:
A plane-wave DFT calculation with GGA-PBE was carried out for CaH after structural relaxation.

Cell and atoms, written as POSCAR:
```
CaH
1.0
-2.0276 -1.7541 -2.6776
1.6192 -2.0117 2.7728
-4.9727 0.6242 3.3567
Ca H
2 2
Cartesian
-0.3696 0.0464 0.2495
-2.2321 -1.5950 2.7352
-2.3037 0.2891 1.5550
-2.1511 -1.6719 0.0431
```

---

Entry 7:
A plane-wave DFT calculation with GGA-PBE was carried out for Ca3H2 after structural relaxation.

Cell and atoms, written as POSCAR:
```
Ca3H2
1.0
-3.7784 -2.9901 4.3348
-1.6291 -6.2139 -0.8609
3.0538 -4.7654 4.2202
Ca H
6 4
Cartesian
0.5580 -5.3044 4.9533
-1.1146 -5.4994 1.6455
0.7927 -8.4528 2.8359
-2.9118 -8.6650 2.7408
-3.1465 -5.5166 4.8582
-1.2391 -8.4700 6.0486
0.5725 -3.8981 2.6556
-2.9262 -10.0713 5.0385
-0.6044 -10.8828 6.5026
-1.7494 -3.0866 1.1915
```

---

Entry 8:
A plane-wave DFT calculation with GGA-PBE was carried out for CaH after structural relaxation.

Cell and atoms, written as POSCAR:
```
CaH
1.0
-1.2797 2.8676 -2.6216
-0.0996 -3.9454 -1.0756
-4.5661 -0.3793 1.8140
H Ca
2 2
Cartesian
-1.6345 -1.7693 -1.1374
-4.3109 0.3121 -0.7457
-3.9175 -1.9589 -0.2304
-2.0279 0.5017 -1.6527
```

---

Entry 9:
A plane-wave DFT calculation with GGA-PBE was carried out for CaH2 after structural relaxation.

Cell and atoms, written as POSCAR:
```
CaH2
1.0
3.5511 0.0000 0.0000
0.0000 5.8544 0.0000
0.0000 0.0000 6.7322
Ca H
4 8
Cartesian
0.8878 1.4038 5.9889
2.6633 1.5234 2.6228
2.6633 4.4505 0.7434
0.8878 4.3311 4.1095
0.8878 5.0037 6.2441
0.8878 2.0764 3.8542
2.6633 0.8508 0.4881
2.6633 3.0785 5.5308
0.8878 5.7031 2.1647
2.6633 0.1513 4.5676
0.8878 2.7759 1.2015
2.6633 3.7779 2.8780
```

---

Entry 10:
A plane-wave DFT calculation with GGA-PBE was carried out for CaHf2H after structural relaxation.

Cell and atoms, written as POSCAR:
```
CaHf2H
1.0
0.0000 3.4790 3.4790
3.4790 0.0000 3.4790
3.4790 3.4790 0.0000
Ca Hf H
1 2 1
Cartesian
3.4790 3.4790 3.4790
5.2185 5.2185 5.2185
1.7395 1.7395 1.7395
0.0000 0.0000 0.0000
```

---

Entry 11:
A plane-wave DFT calculation with GGA-PBE was carried out for Ca2HfH6 after structural relaxation.

Cell and atoms, written as POSCAR:
```
Ca2HfH6
1.0
4.7073 0.0000 2.7178
1.5691 4.4381 2.7178
0.0000 0.0000 5.4356
Ca H Hf
2 6 1
Cartesian
1.5691 1.1095 2.7178
4.7073 3.3286 8.1534
4.6667 3.2998 5.4356
2.3740 3.2998 4.1119
3.9024 1.1383 6.7592
1.6098 1.1383 5.4356
2.3740 3.2998 6.7592
3.9024 1.1383 4.1119
0.0000 0.0000 0.0000
```

---

Entry 12:
A plane-wave DFT calculation with GGA-PBE was carried out for CaHf2H after structural relaxation.

Cell and atoms, written as POSCAR:
```
CaHf2H
1.0
6.3173 0.0000 0.0000
0.0000 6.3173 0.0000
3.1586 3.1586 4.3873
H Ca Hf
2 2 4
Cartesian
3.1586 6.3173 2.1937
3.1586 3.1586 0.0000
0.0000 0.0000 0.0000
6.3173 3.1586 2.1937
7.8966 6.0754 3.2905
2.9167 1.5793 1.0968
3.4005 4.7380 1.0968
4.7380 6.5592 3.2905
```

---

Entry 13:
A plane-wave DFT calculation with GGA-PBE was carried out for CaHf3H after structural relaxation.

Cell and atoms, written as POSCAR:
```
CaHf3H
1.0
-3.4776 -0.6786 -3.6870
-2.9571 -2.5947 3.2667
-2.3043 4.3538 1.3722
Hf Ca H
3 1 1
Cartesian
-1.1522 2.1769 0.6861
-1.7388 -0.3393 -1.8435
-1.4785 -1.2973 1.6333
0.0000 0.0000 0.0000
-4.3695 0.5402 0.4759
```

---

Entry 14:
A plane-wave DFT calculation with GGA-PBE was carried out for Ca3HfH after structural relaxation.

Cell and atoms, written as POSCAR:
```
Ca3HfH
1.0
-0.7724 2.6479 -4.2457
-4.8908 0.5080 1.2066
1.0571 4.2854 2.4804
Ca Hf H
3 1 1
Cartesian
-0.3862 1.3240 -2.1228
-2.4454 0.2540 0.6033
0.5285 2.1427 1.2402
-2.3031 3.7206 -0.2794
0.0000 0.0000 0.0000
```

---

Entry 15:
A plane-wave DFT calculation with GGA-PBE was carried out for CaHf3H after structural relaxation.

Cell and atoms, written as POSCAR:
```
CaHf3H
1.0
-0.1646 3.9965 -2.3000
-3.5535 -1.5766 -2.4853
-2.9385 1.6827 3.1341
Ca H Hf
1 1 3
Cartesian
-3.3283 2.0513 -0.8256
0.0000 0.0000 0.0000
-1.4693 0.8413 1.5671
-0.0823 1.9983 -1.1500
-1.7767 -0.7883 -1.2426
```

---

Entry 16:
A plane-wave DFT calculation with GGA-PBE was carried out for Ca2HfH8 after structural relaxation.

Cell and atoms, written as POSCAR:
```
Ca2HfH8
1.0
-1.7521 2.5248 -1.4770
-0.6089 -3.0030 -4.4109
-3.2752 -1.7150 4.8894
Ca H Hf
2 8 1
Cartesian
-3.7841 -0.0128 0.5311
-1.8522 -2.1803 -1.5297
-5.4877 -1.4601 0.0781
-3.3297 -2.1435 0.2857
-1.2560 -0.5508 0.5484
-2.6108 -1.5496 -3.4876
-4.3803 -1.6423 -1.5469
-2.3066 -0.0496 -1.2843
-0.1486 -0.7330 -1.0766
-3.0255 -0.6435 2.4890
-0.8761 1.2624 -0.7385
```

---

Entry 17:
A plane-wave DFT calculation with GGA-PBE was carried out for CaHfV2H after structural relaxation.

Cell and atoms, written as POSCAR:
```
CaHfV2H
1.0
-3.5600 0.6530 -1.8928
0.6340 -3.2947 -2.3292
-2.1653 -2.6496 3.1585
Hf H V Ca
1 1 2 1
Cartesian
-2.5456 -2.6456 -0.5318
0.0000 0.0000 0.0000
-1.7800 0.3265 -0.9464
0.3170 -1.6474 -1.1646
-1.0827 -1.3248 1.5792
```

---

Entry 18:
A plane-wave DFT calculation with GGA-PBE was carried out for Ca2HgH after structural relaxation.

Cell and atoms, written as POSCAR:
```
Ca2HgH
1.0
2.0679 -4.7385 0.2364
-2.7900 -3.9521 1.8390
-1.6580 -3.7098 -3.2053
Ca Hg H
2 1 1
Cartesian
-0.5950 -3.1001 -0.2825
-1.7851 -9.3004 -0.8474
-1.1901 -6.2002 -0.5649
0.0000 0.0000 0.0000
```

---

Entry 19:
A plane-wave DFT calculation with GGA-PBE was carried out for CaHgH after structural relaxation.

Cell and atoms, written as POSCAR:
```
CaHgH
1.0
9.3552 0.0000 -0.0087
0.0000 4.2055 0.0000
-0.2192 0.0000 6.1902
H Hg Ca
4 4 4
Cartesian
8.2487 0.0000 0.5527
8.1391 2.1028 3.6477
0.4153 2.1028 0.7716
0.3057 0.0000 3.8667
5.2684 0.0000 2.1124
3.2072 2.1028 2.6036
5.1588 2.1028 5.2075
3.0976 0.0000 5.6987
7.4974 2.1028 1.3387
1.0240 0.0000 1.6288
7.3879 0.0000 4.4338
0.9144 2.1028 4.7238
```

---

Entry 20:
A plane-wave DFT calculation with GGA-PBE was carried out for Ca2HgH after structural relaxation.

Cell and atoms, written as POSCAR:
```
Ca2HgH
1.0
6.9802 0.0000 0.0000
0.0000 6.9802 0.0000
3.4901 3.4901 3.9493
Ca H Hg
4 2 2
Cartesian
5.2351 5.8854 2.9620
2.3953 5.2351 0.9873
8.7252 8.0750 2.9620
4.5849 1.7450 0.9873
3.4901 3.4901 0.0000
3.4901 6.9802 1.9746
0.0000 0.0000 0.0000
6.9802 3.4901 1.9746
```

---

Results for magnetic moment: 0.000 0.000 0.000 0.000 0.000 0.017 0.000 0.000 0.000 0.000 1.339 0.000 1.041 2.486 0.000 0.000 0.001 0.000 0.000 0.000 (in μB/f.u., following the order of the records).
Results for calculated total energy: -3.23 -2.98 -3.03 -2.93 -3.02 -3.03 -2.76 -2.99 -3.48 -5.00 -4.00 -6.17 -4.58 -3.62 -6.84 -4.16 -6.18 -1.96 -2.25 -2.29 (in eV per atom, following the order of the records).